1.
La6PCl8, optimized geometry, DFT PBE; density of states at the Fermi level = 0.451 states/eV/atom; calculated volume = 459.8 Å³/cell; raw formation energy = -1.960 eV/atom
1.0
-4.287 0.546 -5.801
0.348 -4.979 -5.236
-8.419 -6.956 1.058
Cl La P
8 6 1
Direct
0.333 0.333 0.000 Cl
0.667 0.667 0.000 Cl
0.559 0.891 0.325 Cl
0.891 0.224 0.325 Cl
0.776 0.441 0.675 Cl
0.441 0.109 0.675 Cl
0.224 0.559 0.325 Cl
0.109 0.776 0.675 Cl
0.376 0.730 0.841 La
0.053 0.376 0.841 La
0.624 0.270 0.159 La
0.730 0.053 0.841 La
0.270 0.947 0.159 La
0.947 0.624 0.159 La
0.000 0.000 0.000 P

***

2.
K2Hg, optimized geometry, DFT PBE; excess energy over the best structure of this formula in the dataset = 0.0392 eV/atom; density of states at the Fermi level = 0.300 states/eV/atom; calculated volume = 274.8 Å³/cell; DFT formation energy = -0.13 eV/atom
1.0
-7.565 4.117 3.847
5.114 -7.712 -1.829
3.178 0.837 5.353
Hg K
2 4
Direct
0.903 0.097 0.750 Hg
0.097 0.903 0.250 Hg
0.257 0.743 0.750 K
0.437 0.563 0.250 K
0.743 0.257 0.250 K
0.563 0.437 0.750 K

***

3.
LuThZnNi, optimized geometry, DFT PBE; density of states at the Fermi level = 0.832 states/eV/atom; calculated volume = 86.4 Å³/cell; DFT formation energy = -0.28 eV/atom
1.0
4.962 0.000 0.000
2.481 4.297 0.000
2.481 1.432 4.051
Th Zn Lu Ni
1 1 1 1
Direct
0.750 0.750 0.750 Th
0.000 0.000 0.000 Zn
0.250 0.250 0.250 Lu
0.500 0.500 0.500 Ni

***

4.
In2SbW, optimized geometry, DFT PBE; density of states at the Fermi level = 0.805 states/eV/atom; calculated volume = 86.2 Å³/cell; raw formation energy = 0.678 eV/atom
1.0
5.486 0.005 0.000
-1.735 5.204 0.000
0.000 0.000 3.018
In W Sb
2 1 1
Direct
0.000 0.000 0.000 In
0.500 0.500 0.000 In
0.000 0.500 0.500 W
0.500 0.000 0.500 Sb